This record from Alexandria describes a geometry-optimized Be2TlSe structure. The functional is PBEsol.

Cell lengths 4.2972, 4.7314, 4.2972 Å; angles 62.99, 90.00, 117.01 degrees
With the nearest neighbours (Å) after each atom.
Positions (direct):
Tl: 0.0000 0.0000 0.0000  8 Be 2.81, 4 Se 3.04
Se: 0.5000 0.0000 0.5000  8 Be 2.81, 4 Tl 3.04
Be: 0.2500 0.5000 0.2500  4 Tl 2.81, 4 Se 2.81, 4 Be 3.04
Be: 0.7500 0.5000 0.7500  4 Tl 2.81, 4 Se 2.81, 4 Be 3.04

Calculated values
**M_tot**: 0.00 μB/f.u.
**Space group**: No. 139
**Raw formation energy**: 0.7303 eV/atom